No. 1
8
Lattice="6.0357 0.0000 0.0000 0.0001 5.7524 1.8443 0.0001 3.4014 9.1660" Properties=species:S:1:pos:R:3 comment="PBE La4Tb2PrDy, relaxed" sg="P4/mmm (123)" dft_energy_ev_per_atom=-4.71 pbc="T T T"
La 0.0001 6.8880 8.1921
La 6.0357 2.2659 2.8181
La 3.0179 5.1407 3.7338
La 3.0179 4.0131 7.2764
Tb 0.0001 3.4014 9.1660
Tb 3.0179 1.7007 4.5830
Pr 3.0179 6.2776 10.0881
Dy 0.0001 4.5769 5.5052


No. 2
18
Lattice="9.5177 0.0000 0.0000 0.0000 9.5177 0.0000 -4.7589 -4.7589 7.1658" Properties=species:S:1:pos:R:3 comment="PBE La5TbPrDy2, relaxed" sg="I4/mcm (140)" dft_energy_ev_per_atom=-4.53 pbc="T T T"
La 7.6041 2.8453 1.9249
La 2.8453 -1.9136 5.2409
La -2.8453 1.9136 5.2409
La -1.9136 -2.8453 5.2409
La 1.9136 2.8453 5.2409
La 6.6724 7.6041 1.9249
La 2.8453 1.9136 1.9249
La 1.9136 6.6724 1.9249
La 4.7589 4.7589 0.0000
La 0.0000 0.0000 0.0000
Tb 0.0000 4.7589 3.5829
Tb 4.7589 0.0000 3.5829
Pr 0.0000 0.0000 3.5829
Pr 4.7589 4.7589 3.5829
Dy 1.0343 3.7246 0.0000
Dy 5.7931 1.0343 0.0000
Dy 3.7246 8.4834 0.0000
Dy 8.4834 5.7931 0.0000


No. 3
20
Lattice="-3.1928 -8.5099 3.8154 8.5806 -1.4279 2.3969 -5.0399 5.0742 5.5011" Properties=species:S:1:pos:R:3 comment="PBE LaTb2Pr6Dy, relaxed" sg="C2/c (15)" dft_energy_ev_per_atom=-4.64 pbc="T T T"
La 7.4118 -3.3785 3.4352
La -7.0639 -1.4851 8.2783
Tb 1.8817 -1.4230 7.5095
Tb 1.3901 0.1806 1.9937
Tb -1.5339 -3.4406 4.2039
Tb -1.0423 -5.0442 9.7198
Pr -2.9889 3.1926 4.6338
Pr -3.7696 0.3533 7.1554
Pr 3.3367 -8.0562 7.0797
Pr 4.1174 -5.2169 4.5581
Pr 5.2854 -1.8723 5.9797
Pr 4.1854 -2.3293 2.1107
Pr -4.9375 -2.9913 5.7338
Pr -3.8376 -2.5343 9.6028
Pr 3.1874 0.4763 4.8312
Pr 1.6619 -2.4717 4.3125
Pr -2.8396 -5.3399 6.8823
Pr -1.3140 -2.3919 7.4010
Dy -0.2612 0.2844 5.1840
Dy 0.6090 -5.1480 6.5295